[1]
This record from Alexandria via LeMat-Bulk describes SiC3S at its PBEsol-relaxed geometry. The functional is SCAN.

a = 3.768 Å, b = 3.768 Å, c = 3.768 Å
α = 90.00°, β = 90.00°, γ = 90.00°
Space group Pm-3m (No. 221)
Asymmetric unit:
Si: 0.000 0.000 0.000 [1 per cell]
C: 0.000 0.000 0.500 [3 per cell]
S: 0.500 0.500 0.500 [1 per cell]

Properties
density of states at the Fermi level: 0.4559 states/eV/atom
formation energy from raw total energies: 2.35 eV per atom

[2]
This record from Alexandria via LeMat-Bulk describes SnCS2 at its PBEsol-relaxed geometry. The functional is SCAN.

a = 3.5196 Å, b = 3.5196 Å, c = 23.0627 Å
α = 90.00°, β = 90.00°, γ = 120.00°
Space group R-3m (No. 166, hexagonal axes)
Asymmetric unit:
Sn: 0.0000 0.0000 0.0000 [3 per cell]
C: 0.0000 0.0000 0.5000 [3 per cell]
S: 0.0000 0.0000 0.4317 [6 per cell]

Properties
E above lowest polymorph: 0.0 meV per atom
density of states at the Fermi level: 0.3874 states/eV/atom
formation energy from raw total energies: 0.53 eV per atom

[3]
This record from Alexandria via LeMat-Bulk describes SnCS2 at its PBEsol-relaxed geometry. The functional is SCAN.

a = 5.814 Å, b = 5.814 Å, c = 8.727 Å
α = 90.00°, β = 90.00°, γ = 90.00°
Space group I-42d (No. 122)
Asymmetric unit:
Sn: 0.000 0.000 0.000 [4 per cell]
C: 0.000 0.000 0.500 [4 per cell]
S: 0.107 0.250 0.625 [8 per cell]

Properties
E above lowest polymorph: 446.3 meV per atom
density of states at the Fermi level: 0.2344 states/eV/atom
formation energy from raw total energies: 0.97 eV per atom

[4]
This record from Alexandria via LeMat-Bulk describes TlSn2CS at its PBEsol-relaxed geometry. The functional is SCAN.

a = 5.538 Å, b = 5.538 Å, c = 3.557 Å
α = 90.00°, β = 90.00°, γ = 90.00°
Space group P4/mmm (No. 123)
Asymmetric unit:
Tl: 0.000 0.000 0.000 [1 per cell]
Sn: 0.000 0.500 0.500 [2 per cell]
C: 0.500 0.500 0.000 [1 per cell]
S: 0.500 0.500 0.500 [1 per cell]

Properties
density of states at the Fermi level: 0.3903 states/eV/atom
formation energy from raw total energies: 1.01 eV per atom

[5]
This record from Alexandria via LeMat-Bulk describes Sr2ZrCS at its PBEsol-relaxed geometry. The functional is SCAN.

a = 5.427 Å, b = 5.427 Å, c = 4.776 Å
α = 90.00°, β = 90.00°, γ = 90.00°
Space group P4/mmm (No. 123)
Asymmetric unit:
Sr: 0.000 0.500 0.000 [2 per cell]
Zr: 0.000 0.000 0.500 [1 per cell]
C: 0.500 0.500 0.500 [1 per cell]
S: 0.000 0.000 0.000 [1 per cell]

Properties
E above lowest polymorph: 0.0 meV per atom
density of states at the Fermi level: 0.5042 states/eV/atom
formation energy from raw total energies: 0.52 eV per atom

[6]
This record from Alexandria via LeMat-Bulk describes Sr2ZrCS at its PBEsol-relaxed geometry. The functional is SCAN.

a = 6.076 Å, b = 6.076 Å, c = 4.743 Å
α = 90.00°, β = 90.00°, γ = 90.00°
Space group P4/mmm (No. 123)
Asymmetric unit:
Sr: 0.000 0.500 0.000 [2 per cell]
Zr: 0.000 0.000 0.000 [1 per cell]
C: 0.500 0.500 0.500 [1 per cell]
S: 0.000 0.000 0.500 [1 per cell]

Properties
E above lowest polymorph: 550.8 meV per atom
density of states at the Fermi level: 0.6382 states/eV/atom
formation energy from raw total energies: 1.07 eV per atom

> What is the density of states at the Fermi level in the sixth record?

0.6382 states/eV/atom